15
Lattice="4.993 0.000 0.000 -1.161 4.979 0.000 -1.378 -1.773 7.206" Properties=species:S:1:pos:R:3 comment="Li2Fe3O10 | Alexandria via LeMat-Bulk | PBE+U | relaxed" n_ef_per_ev_cell=6.43 total_magnetization_mub_per_fu=11.94 dft_energy_ev_per_cell=-82.9 pbc="T T T"
Li -0.318 1.057 0.761
Li 2.772 2.150 6.445
Fe -0.623 3.734 2.768
Fe 1.227 1.603 3.603
Fe 3.077 -0.527 4.438
O -1.167 4.149 1.165
O -0.253 0.239 3.752
O 0.320 2.268 2.081
O 0.372 3.115 4.411
O -0.142 2.629 7.024
O 2.596 0.578 0.182
O 2.082 0.092 2.795
O 2.135 0.939 5.125
O 2.707 2.968 3.455
O 3.621 -0.943 6.041